The following is a DFT calculation (PBE) of a relaxed Nd2YZn2Ga2 crystal.

Cell: 4.4568 4.4568 9.9586 Å, 77.07 77.07 60.00°
Fractional positions:
Ga (0.2692, 0.2692, 0.1923)
Ga (0.7308, 0.7308, 0.8077)
Zn (0.3924, 0.3924, 0.8229)
Zn (0.6076, 0.6076, 0.1771)
Nd (0.8752, 0.8752, 0.3743)
Nd (0.1248, 0.1248, 0.6257)
Y (0.0000, 0.0000, 0.0000)

Values from the calculation:
- DFT formation energy (eV per atom) = -0.413
- D(E_F) (states/eV per cell) = 4.06
- calculated total energy (eV/atom) = -3.927

***

The following is a DFT calculation (PBE) of a relaxed NdY2Zn2Ga2 crystal.

Cell: 4.4652 4.4652 9.7473 Å, 76.76 76.76 60.00°
Fractional positions:
Nd (0.0000, 0.0000, 0.0000)
Ga (0.2592, 0.2592, 0.2224)
Ga (0.7408, 0.7408, 0.7776)
Y (0.8725, 0.8725, 0.3826)
Y (0.1275, 0.1275, 0.6174)
Zn (0.4017, 0.4017, 0.7949)
Zn (0.5983, 0.5983, 0.2051)

Values from the calculation:
- DFT formation energy (eV per atom) = -0.419
- D(E_F) (states/eV per cell) = 3.96
- calculated total energy (eV/atom) = -4.176

***

The following is a DFT calculation (PBE) of a relaxed Nd4Zn3Ga crystal.

Cell: 5.2108 5.2108 9.0510 Å, 73.27 73.27 60.00°
Fractional positions:
Ga (0.0000, 0.0000, 0.0000)
Nd (0.3751, 0.3751, 0.8748)
Nd (0.8750, 0.8750, 0.3751)
Nd (0.6249, 0.6249, 0.1252)
Nd (0.1250, 0.1250, 0.6249)
Zn (0.5000, 0.5000, 0.5000)
Zn (0.2490, 0.2490, 0.2530)
Zn (0.7510, 0.7510, 0.7470)

Values from the calculation:
- DFT formation energy (eV per atom) = -0.370
- D(E_F) (states/eV per cell) = 9.45
- calculated total energy (eV/atom) = -3.610

***

The following is a DFT calculation (PBE) of a relaxed NdZn12Ga4 crystal.

Cell: 7.5960 7.5960 7.5960 Å, 109.47 109.47 109.47°
Fractional positions:
Zn (0.5034, 0.1488, 0.3546)
Zn (0.8512, 0.3546, 0.2058)
Zn (0.4966, 0.8512, 0.6454)
Zn (0.8512, 0.6454, 0.4966)
Zn (0.1488, 0.3546, 0.5034)
Zn (0.2058, 0.8512, 0.3546)
Zn (0.1488, 0.6454, 0.7942)
Zn (0.3546, 0.5034, 0.1488)
Zn (0.6454, 0.4966, 0.8512)
Zn (0.3546, 0.2058, 0.8512)
Zn (0.6454, 0.7942, 0.1488)
Zn (0.7942, 0.1488, 0.6454)
Ga (0.0000, 0.5000, 0.0000)
Ga (0.5000, 0.5000, 0.5000)
Ga (0.5000, 0.0000, 0.0000)
Ga (0.0000, 0.0000, 0.5000)
Nd (0.0000, 0.0000, 0.0000)

Values from the calculation:
- DFT formation energy (eV per atom) = 0.138
- D(E_F) (states/eV per cell) = 10.04
- calculated total energy (eV/atom) = -1.754

***

The following is a DFT calculation (PBE) of a relaxed NdZn2Ga2 crystal.

Cell: 4.2543 4.2543 10.6297 Å, 90.00 90.00 90.00°
Fractional positions:
Zn (0.0000, 0.5000, 0.3639)
Zn (0.5000, 0.0000, 0.6361)
Zn (0.0000, 0.0000, 0.0000)
Zn (0.5000, 0.5000, 0.0000)
Nd (0.0000, 0.5000, 0.7506)
Nd (0.5000, 0.0000, 0.2494)
Ga (0.5000, 0.0000, 0.8654)
Ga (0.5000, 0.5000, 0.5000)
Ga (0.0000, 0.0000, 0.5000)
Ga (0.0000, 0.5000, 0.1346)

Values from the calculation:
- DFT formation energy (eV per atom) = -0.482
- D(E_F) (states/eV per cell) = 2.50
- calculated total energy (eV/atom) = -3.155

***

The following is a DFT calculation (PBE) of a relaxed Nd4Zn5Ga2 crystal.

Cell: 4.4257 6.7713 8.5815 Å, 92.35 90.00 90.00°
Fractional positions:
Zn (0.0000, 0.1860, 0.1456)
Zn (0.0000, 0.5000, 0.0000)
Zn (0.0000, 0.4491, 0.6850)
Zn (0.0000, 0.8140, 0.8544)
Zn (0.0000, 0.5509, 0.3150)
Nd (0.5000, 0.2020, 0.8716)
Nd (0.5000, 0.2513, 0.4210)
Nd (0.5000, 0.7487, 0.5790)
Nd (0.5000, 0.7980, 0.1284)
Ga (0.0000, 0.9300, 0.3588)
Ga (0.0000, 0.0700, 0.6412)

Values from the calculation:
- DFT formation energy (eV per atom) = -0.340
- D(E_F) (states/eV per cell) = 8.93
- calculated total energy (eV/atom) = -3.204

***

The following is a DFT calculation (PBE) of a relaxed NdZn3Ga3 crystal.

Cell: 8.2786 8.2786 8.2786 Å, 60.00 60.00 60.00°
Fractional positions:
Nd (0.7500, 0.7500, 0.7500)
Nd (0.2500, 0.2500, 0.2500)
Ga (0.3440, 0.6560, 0.3440)
Ga (0.6560, 0.3440, 0.6560)
Ga (0.3440, 0.6560, 0.6560)
Ga (0.6560, 0.3440, 0.3440)
Ga (0.3440, 0.3440, 0.6560)
Ga (0.6560, 0.6560, 0.3440)
Zn (0.1512, 0.8488, 0.1512)
Zn (0.1512, 0.1512, 0.8488)
Zn (0.8488, 0.1512, 0.1512)
Zn (0.1512, 0.8488, 0.8488)
Zn (0.8488, 0.8488, 0.1512)
Zn (0.8488, 0.1512, 0.8488)

Values from the calculation:
- DFT formation energy (eV per atom) = 0.434
- D(E_F) (states/eV per cell) = 10.67
- calculated total energy (eV/atom) = -2.090

***

The following is a DFT calculation (PBE) of a relaxed NdZn5Ga2 crystal.

Cell: 4.0549 6.4244 6.4244 Å, 68.31 71.60 71.60°
Fractional positions:
Nd (0.0000, 0.0000, 0.0000)
Zn (0.3633, 0.8200, 0.4533)
Zn (0.3633, 0.4533, 0.8200)
Zn (0.6367, 0.1800, 0.5467)
Zn (0.6367, 0.5467, 0.1800)
Zn (0.0000, 0.5000, 0.5000)
Ga (0.2559, 0.2441, 0.2441)
Ga (0.7441, 0.7559, 0.7559)

Values from the calculation:
- DFT formation energy (eV per atom) = -0.261
- D(E_F) (states/eV per cell) = 2.56
- calculated total energy (eV/atom) = -2.410

***

The following is a DFT calculation (PBE) of a relaxed NdZnGa2 crystal.

Cell: 4.2558 11.0218 14.1366 Å, 90.00 90.00 90.00°
Fractional positions:
Ga (0.7500, 0.9585, 0.6305)
Ga (0.2500, 0.2482, 0.2958)
Ga (0.7500, 0.7518, 0.7042)
Ga (0.7500, 0.7482, 0.2042)
Ga (0.2500, 0.4636, 0.5332)
Ga (0.2500, 0.2349, 0.1173)
Ga (0.2500, 0.0415, 0.3695)
Ga (0.7500, 0.5364, 0.4668)
Ga (0.2500, 0.2518, 0.7958)
Ga (0.2500, 0.2651, 0.6173)
Ga (0.2500, 0.4585, 0.8695)
Ga (0.2500, 0.0364, 0.0332)
Ga (0.7500, 0.5415, 0.1305)
Ga (0.7500, 0.7349, 0.3827)
Ga (0.7500, 0.9636, 0.9668)
Ga (0.7500, 0.7651, 0.8827)
Nd (0.7500, 0.2477, 0.4528)
Nd (0.2500, 0.5325, 0.2972)
Nd (0.2500, 0.7523, 0.5472)
Nd (0.7500, 0.0325, 0.2028)
Nd (0.7500, 0.2523, 0.9528)
Nd (0.7500, 0.4675, 0.7028)
Nd (0.2500, 0.9675, 0.7972)
Nd (0.2500, 0.7477, 0.0472)
Zn (0.7500, 0.9517, 0.4457)
Zn (0.7500, 0.1707, 0.7085)
Zn (0.2500, 0.4517, 0.0543)
Zn (0.7500, 0.3293, 0.2085)
Zn (0.2500, 0.6707, 0.7915)
Zn (0.7500, 0.5483, 0.9457)
Zn (0.2500, 0.0483, 0.5543)
Zn (0.2500, 0.8293, 0.2915)

Values from the calculation:
- DFT formation energy (eV per atom) = -0.537
- D(E_F) (states/eV per cell) = 13.55
- calculated total energy (eV/atom) = -3.561

***

The following is a DFT calculation (PBE) of a relaxed Nd2Zn5Ga3 crystal.

Cell: 4.2708 4.2708 10.5772 Å, 90.00 90.00 90.00°
Fractional positions:
Ga (0.0000, 0.0000, 0.5000)
Ga (0.5000, 0.0000, 0.6418)
Ga (0.0000, 0.5000, 0.3582)
Zn (0.5000, 0.5000, 0.0000)
Zn (0.5000, 0.0000, 0.8733)
Zn (0.5000, 0.5000, 0.5000)
Zn (0.0000, 0.0000, 0.0000)
Zn (0.0000, 0.5000, 0.1267)
Nd (0.5000, 0.0000, 0.2492)
Nd (0.0000, 0.5000, 0.7508)

Values from the calculation:
- DFT formation energy (eV per atom) = -0.427
- D(E_F) (states/eV per cell) = 3.83
- calculated total energy (eV/atom) = -2.926

***

The following is a DFT calculation (PBE) of a relaxed NdZn9Ga2 crystal.

Cell: 3.5420 8.3911 8.3911 Å, 120.00 90.00 90.00°
Fractional positions:
Zn (0.5000, 0.8136, 0.6272)
Zn (0.5000, 0.8136, 0.1864)
Zn (0.5000, 0.3728, 0.1864)
Zn (0.5000, 0.1864, 0.3728)
Zn (0.0000, 0.5000, 0.0000)
Zn (0.0000, 0.0000, 0.5000)
Zn (0.5000, 0.1864, 0.8136)
Zn (0.5000, 0.6272, 0.8136)
Zn (0.0000, 0.5000, 0.5000)
Nd (0.0000, 0.0000, 0.0000)
Ga (0.0000, 0.6667, 0.3333)
Ga (0.0000, 0.3333, 0.6667)

Values from the calculation:
- DFT formation energy (eV per atom) = -0.030
- D(E_F) (states/eV per cell) = 2.12
- calculated total energy (eV/atom) = -1.887

***

The following is a DFT calculation (PBE) of a relaxed Nd5ZnGa2 crystal.

Cell: 7.7385 7.7385 9.3710 Å, 114.39 114.39 90.00°
Fractional positions:
Nd (0.5000, 0.5000, 0.0000)
Nd (0.1786, 0.0258, 0.7044)
Nd (0.0258, 0.5258, 0.7044)
Nd (0.4742, 0.3214, 0.2956)
Nd (0.3214, 0.8214, 0.2956)
Nd (0.0000, 0.0000, 0.0000)
Nd (0.6786, 0.1786, 0.7044)
Nd (0.5258, 0.6786, 0.7044)
Nd (0.8214, 0.9742, 0.2956)
Nd (0.9742, 0.4742, 0.2956)
Zn (0.7500, 0.7500, 0.5000)
Zn (0.2500, 0.2500, 0.5000)
Ga (0.6174, 0.1174, 0.0000)
Ga (0.3826, 0.8826, 0.0000)
Ga (0.1174, 0.3826, 0.0000)
Ga (0.8826, 0.6174, 0.0000)

Values from the calculation:
- DFT formation energy (eV per atom) = -0.348
- D(E_F) (states/eV per cell) = 14.48
- calculated total energy (eV/atom) = -4.244

***

Question: What is the formula in the ninth record?
Answer: NdZnGa2

***

What did the eleventh record say?
The following is a DFT calculation (PBE) of a relaxed NdZn9Ga2 crystal.

Cell: 3.5420 8.3911 8.3911 Å, 120.00 90.00 90.00°
Fractional positions:
Zn (0.5000, 0.8136, 0.6272)
Zn (0.5000, 0.8136, 0.1864)
Zn (0.5000, 0.3728, 0.1864)
Zn (0.5000, 0.1864, 0.3728)
Zn (0.0000, 0.5000, 0.0000)
Zn (0.0000, 0.0000, 0.5000)
Zn (0.5000, 0.1864, 0.8136)
Zn (0.5000, 0.6272, 0.8136)
Zn (0.0000, 0.5000, 0.5000)
Nd (0.0000, 0.0000, 0.0000)
Ga (0.0000, 0.6667, 0.3333)
Ga (0.0000, 0.3333, 0.6667)

Values from the calculation:
- DFT formation energy (eV per atom) = -0.030
- D(E_F) (states/eV per cell) = 2.12
- calculated total energy (eV/atom) = -1.887

***

Question: Number 10 is which compound?
Answer: Nd2Zn5Ga3